Record 1
# NaZr4Se8

A relaxed NaZr4Se8 crystal (PBE, Alexandria via LeMat-Bulk).

Cell and atoms, written as CIF:
```
data_NaZr4Se8
_space_group_name_H-M_alt 'R -3 m'
_space_group_IT_number 166
_space_group_name_Hall '-R 3 2"'
_cell_length_a 7.5760
_cell_length_b 7.5760
_cell_length_c 22.2068
_cell_angle_alpha 90.00
_cell_angle_beta 90.00
_cell_angle_gamma 120.00
loop_
_atom_site_label
_atom_site_type_symbol
_atom_site_fract_x
_atom_site_fract_y
_atom_site_fract_z
_atom_site_occupancy
Na1 Na 0.0000 0.0000 0.0000 1
Zr1 Zr 0.0000 0.0000 0.5000 1
Zr2 Zr 0.0000 0.5000 0.5000 1
Se1 Se 0.0000 0.0000 0.2390 1
Se2 Se 0.0024 0.5012 0.2396 1
```

Calculated values
ΔE to the lowest computed polymorph: 0 meV per atom
formation energy without anion corrections: -131.5 kJ/mol of atoms



Record 2
# Na2Zn5CdAg2

A relaxed Na2Zn5CdAg2 crystal (PBE, Alexandria via LeMat-Bulk).

Cell and atoms, written as CIF:
```
data_Na2Zn5CdAg2
_space_group_name_H-M_alt 'P 4/m b m'
_space_group_IT_number 127
_space_group_name_Hall '-P 4 2ab'
_cell_length_a 9.453
_cell_length_b 9.453
_cell_length_c 4.342
_cell_angle_alpha 90.00
_cell_angle_beta 90.00
_cell_angle_gamma 90.00
loop_
_atom_site_label
_atom_site_type_symbol
_atom_site_fract_x
_atom_site_fract_y
_atom_site_fract_z
_atom_site_occupancy
Na1 Na 0.180 0.320 0.000 1
Zn1 Zn 0.000 0.500 0.500 1
Zn2 Zn 0.064 0.795 0.500 1
Cd1 Cd 0.000 0.000 0.000 1
Ag1 Ag 0.115 0.615 0.000 1
```

Calculated values
formation enthalpy at 0 K: 20 kJ/mol of formula units